LiTcSbI2 | Alexandria | GGA-PBE | relaxed; energy relative to the elements, uncorrected = 0.22 eV per atom
1.0
5.788 0.000 0.000
0.000 5.788 0.000
0.000 0.000 5.071
Li Tc Sb I
1 1 1 2
Direct
0.000 0.000 0.000 Li
0.500 0.500 0.500 Tc
0.500 0.500 0.000 Sb
0.000 0.500 0.500 I
0.500 0.000 0.500 I



LiTcSb2I | Alexandria | GGA-PBE | relaxed; energy relative to the elements, uncorrected = 0.23 eV per atom
1.0
5.071 0.000 0.000
0.000 5.071 0.000
0.000 0.000 6.198
Li Tc Sb I
1 1 2 1
Direct
0.000 0.000 0.000 Li
0.500 0.500 0.500 Tc
0.000 0.500 0.500 Sb
0.500 0.000 0.500 Sb
0.500 0.500 0.000 I



LiSbTe2I | Alexandria | GGA-PBE | relaxed; energy relative to the elements, uncorrected = 0.03 eV per atom
1.0
5.776 0.000 0.000
0.000 5.776 0.000
0.000 0.000 6.143
Li Sb Te I
1 1 2 1
Direct
0.000 0.000 0.000 Li
0.500 0.500 0.500 Sb
0.000 0.500 0.500 Te
0.500 0.000 0.500 Te
0.500 0.500 0.000 I



LiSb2TeI | Alexandria | GGA-PBE | relaxed; energy relative to the elements, uncorrected = 0.45 eV per atom
1.0
5.814 0.000 0.000
0.000 5.814 0.000
0.000 0.000 6.302
Li Sb Te I
1 2 1 1
Direct
0.000 0.000 0.000 Li
0.000 0.500 0.500 Sb
0.500 0.000 0.500 Sb
0.500 0.500 0.500 Te
0.500 0.500 0.000 I



LiSb2TeI | Alexandria | GGA-PBE | relaxed; energy relative to the elements, uncorrected = 0.28 eV per atom
1.0
5.327 0.000 0.000
0.000 5.327 0.000
0.000 0.000 4.950
Li Sb Te I
1 2 1 1
Direct
0.000 0.000 0.000 Li
0.000 0.500 0.000 Sb
0.500 0.000 0.000 Sb
0.500 0.500 0.500 Te
0.000 0.000 0.500 I



LiSb2TeI | Alexandria | GGA-PBE | relaxed; energy relative to the elements, uncorrected = 0.75 eV per atom
1.0
5.872 0.000 0.000
0.000 5.872 0.000
0.000 0.000 5.960
Li Sb Te I
1 2 1 1
Direct
0.000 0.000 0.000 Li
0.000 0.500 0.500 Sb
0.500 0.000 0.500 Sb
0.500 0.500 0.000 Te
0.500 0.500 0.500 I



no.,offset from the most stable computed form (eV per atom)
1,0.000
2,0.000
3,0.000
4,0.174
5,0.000
6,0.465